[1]
Computed, not measured: a relaxed Ba11Na9Hg4 crystal at the GGA-PBE level of DFT.

Computed properties:
Calculated volume = 2207 Å³ per cell
Final energy = -1.60 eV/atom
Energy of formation = -174 meV per atom
D(E_F) = 25.32 states/eV/f.u.

Structure (CIF):
```
data_Ba11Na9Hg4
_chemical_formula_sum 'Ba22 Na18 Hg8'
_cell_length_a 17.8372
_cell_length_b 27.3122
_cell_length_c 4.5294
_cell_angle_alpha 90.00
_cell_angle_beta 90.00
_cell_angle_gamma 90.00
_space_group_name_H-M_alt 'C m m m'
_space_group_IT_number 65
_space_group_name_Hall '-C 2 2'
loop_
_atom_site_label
_atom_site_type_symbol
_atom_site_fract_x
_atom_site_fract_y
_atom_site_fract_z
Ba1 Ba 0.0000 0.0000 0.0000
Ba2 Ba 0.0000 0.1568 0.0000
Ba3 Ba 0.0000 0.3711 0.0000
Ba4 Ba 0.1915 0.5000 0.0000
Ba5 Ba 0.2480 0.3328 0.0000
Na1 Na 0.0000 0.5000 0.5000
Na2 Na 0.1058 0.2596 0.5000
Na3 Na 0.1478 0.0720 0.5000
Hg1 Hg 0.1456 0.4032 0.5000
```


[2]
Computed, not measured: a relaxed CaCu2Br crystal at the GGA-PBE level of DFT.

Computed properties:
Calculated volume = 89 Å³ per cell
Final energy = -3.04 eV/atom
D(E_F) = 2.89 states/eV/f.u.
ΔE_f (raw) = -75 meV/atom

Structure (CIF):
```
data_CaCu2Br
_chemical_formula_sum 'Ca1 Cu2 Br1'
_cell_length_a 4.0404
_cell_length_b 4.0404
_cell_length_c 5.4764
_cell_angle_alpha 90.00
_cell_angle_beta 90.00
_cell_angle_gamma 90.00
_space_group_name_H-M_alt 'P 4/m m m'
_space_group_IT_number 123
_space_group_name_Hall '-P 4 2'
loop_
_atom_site_label
_atom_site_type_symbol
_atom_site_fract_x
_atom_site_fract_y
_atom_site_fract_z
Ca1 Ca 0.0000 0.0000 0.0000
Cu1 Cu 0.5000 0.5000 0.2285
Br1 Br 0.0000 0.0000 0.5000
```


[3]
Computed, not measured: a relaxed Sm3Tm5 crystal at the GGA-PBE level of DFT.

Computed properties:
Calculated volume = 254 Å³ per cell
Final energy = -4.55 eV/atom
Energy of formation = 15 meV per atom
D(E_F) = 13.51 states/eV/f.u.

Structure (CIF):
```
data_Sm3Tm5
_chemical_formula_sum 'Sm3 Tm5'
_cell_length_a 3.6040
_cell_length_b 5.6379
_cell_length_c 12.5092
_cell_angle_alpha 90.00
_cell_angle_beta 90.00
_cell_angle_gamma 90.00
_space_group_name_H-M_alt 'P m m 2'
_space_group_IT_number 25
loop_
_space_group_symop_operation_xyz
'x,y,z'
'-x,-y,z'
'-x,y,z'
'x,-y,z'
loop_
_atom_site_label
_atom_site_type_symbol
_atom_site_fract_x
_atom_site_fract_y
_atom_site_fract_z
Sm1 Sm 0.0000 0.0000 0.0000
Sm2 Sm 0.0000 0.5000 0.1747
Sm3 Sm 0.5000 0.0000 0.2566
Tm1 Tm 0.0000 0.0000 0.5076
Tm2 Tm 0.0000 0.5000 0.6699
Tm3 Tm 0.5000 0.0000 0.7513
Tm4 Tm 0.5000 0.5000 0.4260
Tm5 Tm 0.5000 0.5000 0.9147
```


[4]
Computed, not measured: a relaxed PrThAgPb crystal at the GGA-PBE level of DFT.

Computed properties:
Calculated volume = 459 Å³ per cell
Final energy = -4.93 eV/atom
Energy of formation = -244 meV per atom
D(E_F) = 3.03 states/eV/f.u.

Structure (CIF):
```
data_PrThAgPb
_chemical_formula_sum 'Pr4 Th4 Ag4 Pb4'
_cell_length_a 7.7163
_cell_length_b 7.7163
_cell_length_c 7.7163
_cell_angle_alpha 90.00
_cell_angle_beta 90.00
_cell_angle_gamma 90.00
_space_group_name_H-M_alt 'F -4 3 m'
_space_group_IT_number 216
_space_group_name_Hall 'F -4 2 3'
loop_
_atom_site_label
_atom_site_type_symbol
_atom_site_fract_x
_atom_site_fract_y
_atom_site_fract_z
Pr1 Pr 0.0000 0.0000 0.0000
Th1 Th 0.0000 0.0000 0.5000
Ag1 Ag 0.2500 0.2500 0.7500
Pb1 Pb 0.2500 0.2500 0.2500
```


[5]
Computed, not measured: a relaxed KPuCdO4 crystal at the GGA-PBE level of DFT.

Computed properties:
Calculated volume = 493 Å³ per cell
Final energy = -7.21 eV/atom
D(E_F) = 5.87 states/eV/f.u.
ΔE_f (raw) = -2042 meV/atom

Structure (CIF):
```
data_KPuCdO4
_chemical_formula_sum 'K4 Pu4 Cd4 O16'
_cell_length_a 6.9609
_cell_length_b 7.0592
_cell_length_c 10.0387
_cell_angle_alpha 90.00
_cell_angle_beta 90.00
_cell_angle_gamma 90.00
_space_group_name_H-M_alt 'I m m a'
_space_group_IT_number 74
_space_group_name_Hall '-I 2b 2'
loop_
_atom_site_label
_atom_site_type_symbol
_atom_site_fract_x
_atom_site_fract_y
_atom_site_fract_z
K1 K 0.0000 0.2500 0.1129
Pu1 Pu 0.2500 0.2500 0.7500
Cd1 Cd 0.0000 0.0000 0.5000
O1 O 0.0000 0.0605 0.7540
O2 O 0.2104 0.2500 0.5428
```


[6]
Computed, not measured: a relaxed Sr2Ga2Cu crystal at the GGA-PBE level of DFT.

Computed properties:
Calculated volume = 520 Å³ per cell
Final energy = -3.02 eV/atom
Energy of formation = -313 meV per atom
D(E_F) = 3.41 states/eV/f.u.

Structure (CIF):
```
data_Sr2Ga2Cu
_chemical_formula_sum 'Sr8 Ga8 Cu4'
_cell_length_a 10.9602
_cell_length_b 4.7109
_cell_length_c 11.3738
_cell_angle_alpha 90.00
_cell_angle_beta 117.75
_cell_angle_gamma 90.00
_space_group_name_H-M_alt 'C 1 2/m 1'
_space_group_IT_number 12
loop_
_space_group_symop_operation_xyz
'x,y,z'
'-x,-y,-z'
'-x,y,-z'
'x,-y,z'
'x+1/2,y+1/2,z'
'-x+1/2,-y+1/2,-z'
'-x+1/2,y+1/2,-z'
'x+1/2,-y+1/2,z'
loop_
_atom_site_label
_atom_site_type_symbol
_atom_site_fract_x
_atom_site_fract_y
_atom_site_fract_z
Sr1 Sr 0.0885 0.0000 0.3848
Sr2 Sr 0.1844 0.5000 0.1634
Ga1 Ga 0.0842 0.0000 0.9388
Ga2 Ga 0.1112 0.5000 0.6157
Cu1 Cu 0.1211 0.5000 0.8498
```


[7]
Computed, not measured: a relaxed Er2Al4Cu3Pt crystal at the GGA-PBE level of DFT.

Computed properties:
Calculated volume = 174 Å³ per cell
Final energy = -4.82 eV/atom
Energy of formation = -575 meV per atom
D(E_F) = 4.41 states/eV/f.u.

Structure (CIF):
```
data_Er2Al4Cu3Pt
_chemical_formula_sum 'Er2 Al4 Cu3 Pt1'
_cell_length_a 4.1170
_cell_length_b 4.1170
_cell_length_c 10.2832
_cell_angle_alpha 90.00
_cell_angle_beta 90.00
_cell_angle_gamma 90.00
_space_group_name_H-M_alt 'P -4 m 2'
_space_group_IT_number 115
loop_
_space_group_symop_operation_xyz
'x,y,z'
'y,-x,-z'
'-x,-y,z'
'-y,x,-z'
'-x,y,z'
'-y,-x,-z'
'x,-y,z'
'y,x,-z'
loop_
_atom_site_label
_atom_site_type_symbol
_atom_site_fract_x
_atom_site_fract_y
_atom_site_fract_z
Er1 Er 0.0000 0.5000 0.2490
Al1 Al 0.0000 0.0000 0.0000
Al2 Al 0.0000 0.5000 0.6338
Al3 Al 0.5000 0.5000 0.0000
Cu1 Cu 0.0000 0.5000 0.8653
Cu2 Cu 0.5000 0.5000 0.5000
Pt1 Pt 0.0000 0.0000 0.5000
```


[8]
Computed, not measured: a relaxed CaScPb2 crystal at the GGA-PBE level of DFT.

Computed properties:
Calculated volume = 108 Å³ per cell
Final energy = -4.35 eV/atom
Energy of formation = -417 meV per atom
D(E_F) = 2.80 states/eV/f.u.

Structure (CIF):
```
data_CaScPb2
_chemical_formula_sum 'Ca1 Sc1 Pb2'
_cell_length_a 3.4918
_cell_length_b 3.4918
_cell_length_c 8.8849
_cell_angle_alpha 90.00
_cell_angle_beta 90.00
_cell_angle_gamma 90.00
_space_group_name_H-M_alt 'P 4/m m m'
_space_group_IT_number 123
_space_group_name_Hall '-P 4 2'
loop_
_atom_site_label
_atom_site_type_symbol
_atom_site_fract_x
_atom_site_fract_y
_atom_site_fract_z
Ca1 Ca 0.0000 0.0000 0.0000
Sc1 Sc 0.0000 0.0000 0.5000
Pb1 Pb 0.5000 0.5000 0.2664
```


[9]
Computed, not measured: a relaxed CsP2Au2 crystal at the GGA-PBE level of DFT.

Computed properties:
Calculated volume = 238 Å³ per cell
Final energy = -3.25 eV/atom
Energy of formation = 393 meV per atom
D(E_F) = 2.95 states/eV/f.u.

Structure (CIF):
```
data_CsP2Au2
_chemical_formula_sum 'Cs2 P4 Au4'
_cell_length_a 8.6705
_cell_length_b 8.6705
_cell_length_c 3.1605
_cell_angle_alpha 90.00
_cell_angle_beta 90.00
_cell_angle_gamma 90.00
_space_group_name_H-M_alt 'P 4/m b m'
_space_group_IT_number 127
_space_group_name_Hall '-P 4 2ab'
loop_
_atom_site_label
_atom_site_type_symbol
_atom_site_fract_x
_atom_site_fract_y
_atom_site_fract_z
Cs1 Cs 0.0000 0.0000 0.0000
P1 P 0.1297 0.3703 0.0000
Au1 Au 0.1216 0.6216 0.5000
```


[10]
Computed, not measured: a relaxed Cd2C crystal at the GGA-PBE level of DFT.

Computed properties:
Calculated volume = 56 Å³ per cell
Final energy = -2.30 eV/atom
Energy of formation = 1389 meV per atom
D(E_F) = 1.32 states/eV/f.u.

Structure (CIF):
```
data_Cd2C
_chemical_formula_sum 'Cd2 C1'
_cell_length_a 3.3405
_cell_length_b 3.3405
_cell_length_c 5.8222
_cell_angle_alpha 90.00
_cell_angle_beta 90.00
_cell_angle_gamma 120.00
_space_group_name_H-M_alt 'P -6 m 2'
_space_group_IT_number 187
_space_group_name_Hall 'P -6 2'
loop_
_atom_site_label
_atom_site_type_symbol
_atom_site_fract_x
_atom_site_fract_y
_atom_site_fract_z
Cd1 Cd 0.0000 0.0000 0.2462
C1 C 0.3333 0.6667 0.5000
```


[11]
Computed, not measured: a relaxed GaAgSn crystal at the GGA-PBE level of DFT.

Computed properties:
Calculated volume = 132 Å³ per cell
Final energy = -3.26 eV/atom
Energy of formation = 36 meV per atom
D(E_F) = 1.01 states/eV/f.u.

Structure (CIF):
```
data_GaAgSn
_chemical_formula_sum 'Ga2 Ag2 Sn2'
_cell_length_a 3.1495
_cell_length_b 6.4816
_cell_length_c 6.5015
_cell_angle_alpha 96.29
_cell_angle_beta 92.77
_cell_angle_gamma 92.83
_space_group_name_H-M_alt 'P 1'
_space_group_IT_number 1
loop_
_space_group_symop_operation_xyz
'x,y,z'
loop_
_atom_site_label
_atom_site_type_symbol
_atom_site_fract_x
_atom_site_fract_y
_atom_site_fract_z
Ga1 Ga 0.0000 0.0000 0.0000
Ga2 Ga 0.4907 0.6716 0.9657
Ag1 Ag 0.0235 0.4047 0.1715
Ag2 Ag 0.4647 0.2671 0.7939
Sn1 Sn 0.6113 0.6105 0.5185
Sn2 Sn 0.8755 0.0618 0.4468
```


[12]
Computed, not measured: a relaxed Li3Dy3GaSe8 crystal at the GGA-PBE level of DFT.

Computed properties:
Calculated volume = 1078 Å³ per cell
Final energy = -4.72 eV/atom
D(E_F) = 9.05 states/eV/f.u.
ΔE_f (raw) = -1352 meV/atom

Structure (CIF):
```
data_Li3Dy3GaSe8
_chemical_formula_sum 'Li9 Dy9 Ga3 Se24'
_cell_length_a 8.0574
_cell_length_b 8.0574
_cell_length_c 19.1773
_cell_angle_alpha 90.00
_cell_angle_beta 90.00
_cell_angle_gamma 120.00
_space_group_name_H-M_alt 'R -3 m'
_space_group_IT_number 166
_space_group_name_Hall '-R 3 2"'
loop_
_atom_site_label
_atom_site_type_symbol
_atom_site_fract_x
_atom_site_fract_y
_atom_site_fract_z
Li1 Li 0.0000 0.5000 0.0000
Dy1 Dy 0.0000 0.5000 0.5000
Ga1 Ga 0.0000 0.0000 0.5000
Se1 Se 0.0000 0.0000 0.2521
Se2 Se 0.0214 0.5107 0.2481
```